A relaxed structure of Pm2Sn2Ge. Source: Alexandria, functional PBE-GGA.

Computed properties:
* SG: P-1, No. 2
* energy relative to the lowest polymorph listed for this composition: 0 meV/atom
* N(E_F): 5.1 states/eV per cell

a = 4.507 Å, b = 6.217 Å, c = 10.664 Å
α = 77.29°, β = 77.90°, γ = 68.98°
Fractional positions:
Pm: 0.020 0.139 0.322
Pm: 0.177 0.265 0.879
Pm: 0.823 0.735 0.121
Pm: 0.980 0.861 0.678
Sn: 0.362 0.234 0.549
Sn: 0.443 0.715 0.900
Sn: 0.557 0.285 0.100
Sn: 0.638 0.766 0.451
Ge: 0.320 0.553 0.308
Ge: 0.680 0.447 0.692


A relaxed structure of Pm12Sn2Ge5. Source: Alexandria, functional PBE-GGA.

Computed properties:
* SG: C2/m, No. 12
* N(E_F): 18.8 states/eV per cell
* electronic total energy: -96.8 eV per formula unit

a = 9.319 Å, b = 9.319 Å, c = 9.953 Å
α = 104.08°, β = 104.08°, γ = 45.30°
Fractional positions:
Pm: 0.009 0.009 0.247
Pm: 0.053 0.579 0.900
Pm: 0.093 0.616 0.454
Pm: 0.384 0.907 0.546
Pm: 0.411 0.411 0.204
Pm: 0.421 0.947 0.100
Pm: 0.579 0.053 0.900
Pm: 0.589 0.589 0.796
Pm: 0.616 0.093 0.454
Pm: 0.907 0.384 0.546
Pm: 0.947 0.421 0.100
Pm: 0.991 0.991 0.753
Sn: 0.288 0.712 0.000
Sn: 0.712 0.288 0.000
Ge: 0.169 0.169 0.812
Ge: 0.209 0.209 0.351
Ge: 0.500 0.500 0.500
Ge: 0.791 0.791 0.649
Ge: 0.831 0.831 0.188


Number 1: magnetization 0.00 μB/atom. Number 2: magnetization 0.00 μB/atom.